No. 1
The following is a DFT calculation (GGA-PBE) of crystalline ScSiPt at its relaxed geometry.

Cell: 6.6113 4.1553 7.3193 Å, 90.00 90.00 90.00°
Atoms (fractional coordinates):
1 Sc 0.0013 0.2500 0.2002
2 Sc 0.4987 0.7500 0.7002
3 Sc 0.5013 0.2500 0.2998
4 Sc 0.9987 0.7500 0.7998
5 Si 0.1935 0.2500 0.5934
6 Si 0.3065 0.7500 0.0934
7 Si 0.6935 0.2500 0.9066
8 Si 0.8065 0.7500 0.4066
9 Pt 0.1995 0.7500 0.4164
10 Pt 0.3005 0.2500 0.9164
11 Pt 0.6995 0.7500 0.0836
12 Pt 0.8005 0.2500 0.5836

Calculated values
space group	Pnma, No. 62
DFT total energy	-85.6	eV per cell
magnetization	0.00	μB/atom

=====

No. 2
The following is a DFT calculation (GGA-PBE) of crystalline InCoCuRe at its relaxed geometry.

Cell: 4.3211 4.3211 4.3211 Å, 60.00 60.00 60.00°
Atoms (fractional coordinates):
1 In 0.0000 0.0000 0.0000
2 Co 0.2500 0.2500 0.2500
3 Cu 0.7500 0.7500 0.7500
4 Re 0.5000 0.5000 0.5000

Calculated values
distance to the lowest polymorph of the same formula	0	meV/atom
space group	F-43m, No. 216
magnetization	0.50	μB/atom

=====

No. 3
The following is a DFT calculation (GGA-PBE) of crystalline GdScAu6 at its relaxed geometry.

Cell: 4.9729 6.1157 5.0936 Å, 90.00 90.00 90.00°
Atoms (fractional coordinates):
1 Gd 0.0000 0.0000 0.0000
2 Sc 0.5000 0.5000 0.6873
3 Au 0.0000 0.2638 0.5035
4 Au 0.0000 0.5000 0.9963
5 Au 0.0000 0.7362 0.5035
6 Au 0.5000 0.0000 0.6670
7 Au 0.5000 0.2567 0.1783
8 Au 0.5000 0.7433 0.1783

Calculated values
space group	Pmm2, No. 25
calculated formation energy	-0.67	eV per atom
magnetization	0.00	μB/atom

=====

Which value of magnetization does entry 3 give?
0.00 μB/atom